The following is a DFT calculation (SCAN) of a PBEsol-optimized structure of LiScCl.

As for the symmetry: P3m1. The energy above the lowest structure with this stoichiometry comes out at 0 meV per atom.

```
LiScCl
1.0
3.313 0.000 0.000
-1.656 2.869 0.000
0.000 0.000 6.261
Cl Sc Li
1 1 1
Direct
0.000 0.000 0.003
0.333 0.667 0.295
0.667 0.333 0.702
```

=====

The following is a DFT calculation (SCAN) of a PBEsol-optimized structure of RbSb3Pd.

As for the symmetry: Pm-3m. As for the calculated total energy: -31.122 eV/atom.

```
RbSb3Pd
1.0
-1.011 5.509 -1.213
-4.632 -1.514 -3.016
-3.219 0.449 4.719
Pd Sb Rb
1 3 1
Direct
0.500 0.500 0.500
0.500 0.000 0.000
0.000 0.000 0.500
0.000 0.500 0.000
0.000 0.000 0.000
```

=====

The following is a DFT calculation (SCAN) of a PBEsol-optimized structure of La2ZrCr.

As for the symmetry: P4/mmm. For the energy of formation from the pure elements, the calculation gives 0.286 eV/atom. The energy above the lowest structure with this stoichiometry comes out at 51 meV per atom.

```
La2ZrCr
1.0
-1.825 -1.720 -2.532
-2.232 -1.269 2.471
-4.778 6.505 -0.976
Zr La Cr
1 2 1
Direct
0.500 0.500 0.000
0.000 0.000 0.274
0.000 0.000 0.726
0.500 0.500 0.500
```

=====

The following is a DFT calculation (SCAN) of a PBEsol-optimized structure of BeSbHI2.

As for the symmetry: P4/mmm. As for the calculated total energy: -22.858 eV/atom.

```
BeSbHI2
1.0
3.856 0.000 0.000
0.000 5.397 0.000
0.000 0.000 5.397
H Sb I Be
1 1 2 1
Direct
0.000 0.000 0.000
0.500 0.000 0.000
0.000 0.000 0.500
0.000 0.500 0.000
0.500 0.500 0.500
```

=====

| no. | Fermi-level density of states (states/eV/f.u.) |
| --- | --- |
| 1 | 0.476 |
| 2 | 8.356 |
| 3 | 3.988 |
| 4 | 2.236 |